Tc2PtBr: relaxed, GGA-PBE.

Output
ΔE to the lowest computed polymorph	56.8	kJ/mol of atoms
E	-24.8	eV for the cell shown
ΔE_f (raw)	919	meV per atom
N(E_F)	1.11	states/eV/atom
spin magnetization	0.4	μB/cell

```
Tc2PtBr
1.0
2.859 0.000 0.000
0.000 4.752 0.000
0.000 0.000 4.799
Tc Br Pt
2 1 1
direct
0.000 0.000 0.000 Tc
0.500 0.500 0.000 Tc
0.500 0.000 0.500 Br
0.000 0.500 0.500 Pt
```

=====

TcPtBr2: relaxed, GGA-PBE.

Output
ΔE to the lowest computed polymorph	55.2	kJ/mol of atoms
E	-17.3	eV for the cell shown
ΔE_f (raw)	615	meV per atom
N(E_F)	1.05	states/eV/atom
spin magnetization	0.0	μB/cell

```
TcPtBr2
1.0
1.859 0.000 8.715
-0.929 1.610 8.715
-0.929 -1.610 8.715
Br Pt Tc
2 1 1
direct
0.096 0.096 0.096 Br
0.904 0.904 0.904 Br
0.000 0.000 0.000 Pt
0.500 0.500 0.500 Tc
```

=====

ΔE to the lowest computed polymorph of number 2 (TcPtBr2)?
55.2 kJ/mol of atoms

=====

What is the formula in the second record?
TcPtBr2

=====

Repeat the first record exactly.
Tc2PtBr: relaxed, GGA-PBE.

Output
ΔE to the lowest computed polymorph	56.8	kJ/mol of atoms
E	-24.8	eV for the cell shown
ΔE_f (raw)	919	meV per atom
N(E_F)	1.11	states/eV/atom
spin magnetization	0.4	μB/cell

```
Tc2PtBr
1.0
2.859 0.000 0.000
0.000 4.752 0.000
0.000 0.000 4.799
Tc Br Pt
2 1 1
direct
0.000 0.000 0.000 Tc
0.500 0.500 0.000 Tc
0.500 0.000 0.500 Br
0.000 0.500 0.500 Pt
```